Below is crystalline TbPuI4 at its relaxed geometry, with properties calculated at the GGA-PBE level.

Output
calculated density	6.06	g cm⁻³
ΔE_f (raw)	-1.14	eV/atom
total energy	-5.3344	eV per atom

abc: 7.4102 4.2335 8.2672
angles: 90.00 105.78 90.00
Last column: nearest neighbours and their distance in Å.
Space group P2/m (No. 10)
Asymmetric unit:
Tb  0.0000  0.0000  0.0000 [1 per cell]  6 I 3.10-3.11
Pu  0.5000  0.5000  0.0000 [1 per cell]  6 I 3.17
I  0.2348  0.5000  0.2436 [2 per cell]  2 Tb 3.11, 1 Pu 3.17
I  0.2490  0.0000  0.7537 [2 per cell]  1 Tb 3.10, 2 Pu 3.17